Computed, not measured: an optimized crystal structure of BaCo2PbF8 at the PBE with a Hubbard U level of DFT.

The structure in POSCAR format:
```
BaCo2PbF8
1.0
4.340 0.376 0.043
0.433 5.489 0.355
0.099 0.479 8.543
F Co Ba Pb
8 2 1 1
Direct
0.563 0.724 0.002
0.171 0.746 0.254
0.437 0.276 0.998
0.557 0.748 0.595
0.084 0.694 0.798
0.443 0.252 0.405
0.916 0.306 0.202
0.829 0.254 0.746
0.455 0.450 0.198
0.545 0.550 0.802
0.000 0.000 0.500
0.000 0.000 0.000
```

Output
Density, g cm⁻³: 5.066
Raw total energy, eV/atom: -5.15
Space group: P-1, No. 2